# TlPdBr2Cl | Alexandria via LeMat-Bulk | PBE | relaxed
# * distance to the lowest polymorph of the same formula: 0.0000 eV per atom
# * calculated total energy: -15.5 eV/cell
# * ΔE_f (raw): -554 meV per atom
data_TlPdBr2Cl
_symmetry_space_group_name_H-M 'P 4/m m m'
_symmetry_Int_Tables_number 123
_symmetry_space_group_name_Hall '-P 4 2'
_cell_length_a 5.257
_cell_length_b 5.257
_cell_length_c 4.933
_cell_angle_alpha 90.00
_cell_angle_beta 90.00
_cell_angle_gamma 90.00
loop_
_atom_site_label
_atom_site_fract_x
_atom_site_fract_y
_atom_site_fract_z
Tl1 0.000 0.000 0.000
Pd1 0.500 0.500 0.500
Br1 0.000 0.500 0.500
Cl1 0.500 0.500 0.000